1.
Compound: TiMnGa
Source: Alexandria
Functional: PBE
Structure: relaxed

Values from the calculation:
Its total energy is -20.701 eV for the cell shown. The value obtained for the formation energy is -203 meV/atom.

```
data_TiMnGa
_symmetry_space_group_name_H-M 'P 3 m 1'
_symmetry_Int_Tables_number 156
_symmetry_space_group_name_Hall 'P 3 -2"'
_cell_length_a 4.2221
_cell_length_b 4.2221
_cell_length_c 2.6702
_cell_angle_alpha 90.00
_cell_angle_beta 90.00
_cell_angle_gamma 120.00
loop_
_atom_site_label
_atom_site_fract_x
_atom_site_fract_y
_atom_site_fract_z
_atom_site_occupancy
Ti1 0.0000 0.0000 0.0000 1
Mn1 0.6667 0.3333 0.7309 1
Ga1 0.3333 0.6667 0.4297 1
```

***

2.
Compound: CoTe2Pd
Source: Alexandria
Functional: PBE
Structure: relaxed

Values from the calculation:
Its total energy is -74.975 eV for the cell shown. The calculation puts the uncorrected formation energy at -0.933 kcal/mol of atoms.

```
data_CoTe2Pd
_symmetry_space_group_name_H-M 'I -4 2 d'
_symmetry_Int_Tables_number 122
_symmetry_space_group_name_Hall 'I -4 2bw'
_cell_length_a 5.867
_cell_length_b 5.867
_cell_length_c 11.595
_cell_angle_alpha 90.00
_cell_angle_beta 90.00
_cell_angle_gamma 90.00
loop_
_atom_site_label
_atom_site_fract_x
_atom_site_fract_y
_atom_site_fract_z
_atom_site_occupancy
Co1 0.000 0.000 0.000 1
Te1 0.219 0.250 0.125 1
Pd1 0.000 0.000 0.500 1
```

***

3.
Compound: BiTeS
Source: Alexandria
Functional: PBE
Structure: relaxed

Values from the calculation:
As for the excess energy over the best structure of this formula in the dataset: 0.1988 eV/atom. Its total energy is -11.245 eV for the cell shown. The calculation puts the uncorrected formation energy at -0.732 kcal/mol of atoms.

```
data_BiTeS
_symmetry_space_group_name_H-M 'P 3 m 1'
_symmetry_Int_Tables_number 156
_symmetry_space_group_name_Hall 'P 3 -2"'
_cell_length_a 4.3243
_cell_length_b 4.3243
_cell_length_c 5.3286
_cell_angle_alpha 90.00
_cell_angle_beta 90.00
_cell_angle_gamma 120.00
loop_
_atom_site_label
_atom_site_fract_x
_atom_site_fract_y
_atom_site_fract_z
_atom_site_occupancy
Bi1 0.0000 0.0000 0.0000 1
Te1 0.6667 0.3333 0.6513 1
S1 0.3333 0.6667 0.2813 1
```

***

4.
Compound: Pm6C2Se3Cl
Source: Alexandria
Functional: PBE
Structure: relaxed

Values from the calculation:
Its total energy is -149.641 eV for the cell shown. The calculation puts the uncorrected formation energy at -29.918 kcal/mol of atoms.

```
data_Pm6C2Se3Cl
_symmetry_space_group_name_H-M 'C 1 2/m 1'
_symmetry_Int_Tables_number 12
_symmetry_space_group_name_Hall '-C 2y'
_cell_length_a 17.674
_cell_length_b 3.940
_cell_length_c 8.273
_cell_angle_alpha 90.00
_cell_angle_beta 103.49
_cell_angle_gamma 90.00
loop_
_atom_site_label
_atom_site_fract_x
_atom_site_fract_y
_atom_site_fract_z
_atom_site_occupancy
Pm1 0.024 0.000 0.270 1
Pm2 0.176 0.500 0.132 1
Pm3 0.177 0.500 0.561 1
C1 0.169 0.000 0.333 1
Se1 0.000 0.500 0.500 1
Se2 0.158 0.000 0.837 1
Cl1 0.000 0.500 0.000 1
```

***

5.
Compound: Sc6Sb3AsSe2
Source: Alexandria
Functional: PBE
Structure: relaxed

Values from the calculation:
Its total energy is -153.785 eV for the cell shown. The calculation puts the uncorrected formation energy at -28.667 kcal/mol of atoms.

```
data_Sc6Sb3AsSe2
_symmetry_space_group_name_H-M 'C 1 2/m 1'
_symmetry_Int_Tables_number 12
_symmetry_space_group_name_Hall '-C 2y'
_cell_length_a 6.929
_cell_length_b 12.015
_cell_length_c 7.011
_cell_angle_alpha 90.00
_cell_angle_beta 109.18
_cell_angle_gamma 90.00
loop_
_atom_site_label
_atom_site_fract_x
_atom_site_fract_y
_atom_site_fract_z
_atom_site_occupancy
Sc1 0.240 0.163 0.232 1
Sc2 0.248 0.000 0.765 1
Sb1 0.000 0.169 0.500 1
Sb2 0.000 0.500 0.500 1
As1 0.000 0.000 0.000 1
Se1 0.000 0.334 0.000 1
```

***

6.
Compound: Tb2Tm2Bi2C
Source: Alexandria
Functional: PBE
Structure: relaxed

Values from the calculation:
Its total energy is -79.813 eV for the cell shown. The value obtained for the formation energy is -674 meV/atom.

```
data_Tb2Tm2Bi2C
_symmetry_space_group_name_H-M 'I 4/m m m'
_symmetry_Int_Tables_number 139
_symmetry_space_group_name_Hall '-I 4 2'
_cell_length_a 4.787
_cell_length_b 4.787
_cell_length_c 16.074
_cell_angle_alpha 90.00
_cell_angle_beta 90.00
_cell_angle_gamma 90.00
loop_
_atom_site_label
_atom_site_fract_x
_atom_site_fract_y
_atom_site_fract_z
_atom_site_occupancy
Tb1 0.000 0.000 0.154 1
Tm1 0.000 0.500 0.000 1
Bi1 0.000 0.000 0.357 1
C1 0.000 0.000 0.000 1
```

***

7.
Compound: NaCu2O3
Source: Alexandria
Functional: PBE
Structure: relaxed

Values from the calculation:
As for the excess energy over the best structure of this formula in the dataset: 0.1658 eV/atom. Its total energy is -170.515 eV for the cell shown. The calculation puts the uncorrected formation energy at -15.501 kcal/mol of atoms.

```
data_NaCu2O3
_symmetry_space_group_name_H-M 'R -3 m'
_symmetry_Int_Tables_number 166
_symmetry_space_group_name_Hall '-R 3 2"'
_cell_length_a 5.7685
_cell_length_b 5.7685
_cell_length_c 16.3649
_cell_angle_alpha 90.00
_cell_angle_beta 90.00
_cell_angle_gamma 120.00
loop_
_atom_site_label
_atom_site_fract_x
_atom_site_fract_y
_atom_site_fract_z
_atom_site_occupancy
Na1 0.0000 0.0000 0.1671 1
Cu1 0.0000 0.0000 0.0000 1
Cu2 0.0000 0.5000 0.0000 1
O1 0.0078 0.5039 0.2715 1
```

***

8.
Compound: InSn2PbSe4
Source: Alexandria
Functional: PBE
Structure: relaxed

Values from the calculation:
Its total energy is -31.967 eV for the cell shown. The calculation puts the uncorrected formation energy at -10.308 kcal/mol of atoms.

```
data_InSn2PbSe4
_symmetry_space_group_name_H-M 'P 1 2/m 1'
_symmetry_Int_Tables_number 10
_symmetry_space_group_name_Hall '-P 2y'
_cell_length_a 7.439
_cell_length_b 4.270
_cell_length_c 7.448
_cell_angle_alpha 90.00
_cell_angle_beta 109.43
_cell_angle_gamma 90.00
loop_
_atom_site_label
_atom_site_fract_x
_atom_site_fract_y
_atom_site_fract_z
_atom_site_occupancy
In1 0.000 0.000 0.000 1
Sn1 0.000 0.500 0.500 1
Sn2 0.500 0.000 0.500 1
Pb1 0.500 0.500 0.000 1
Se1 0.246 0.000 0.743 1
Se2 0.249 0.500 0.254 1
```

***

9.
Compound: Pa2Co12BH3
Source: Alexandria
Functional: PBE
Structure: relaxed

Values from the calculation:
Its total energy is -363.751 eV for the cell shown.

```
data_Pa2Co12BH3
_symmetry_space_group_name_H-M 'R -3 m'
_symmetry_Int_Tables_number 166
_symmetry_space_group_name_Hall '-R 3 2"'
_cell_length_a 6.5816
_cell_length_b 6.5816
_cell_length_c 16.1804
_cell_angle_alpha 90.00
_cell_angle_beta 90.00
_cell_angle_gamma 120.00
loop_
_atom_site_label
_atom_site_fract_x
_atom_site_fract_y
_atom_site_fract_z
_atom_site_occupancy
Pa1 0.0000 0.0000 0.1286 1
Co1 0.0459 0.5229 0.1067 1
Co2 0.0659 0.5329 0.3507 1
B1 0.0000 0.0000 0.5000 1
H1 0.0000 0.5000 0.0000 1
```

***

10.
Compound: AgGe2Se4
Source: Alexandria
Functional: PBE
Structure: relaxed

Values from the calculation:
As for the excess energy over the best structure of this formula in the dataset: 0.0000 eV/atom. Its total energy is -27.141 eV for the cell shown. The calculation puts the uncorrected formation energy at -3.680 kcal/mol of atoms.

```
data_AgGe2Se4
_symmetry_space_group_name_H-M 'P -4 2 m'
_symmetry_Int_Tables_number 111
_symmetry_space_group_name_Hall 'P -4 2'
_cell_length_a 5.687
_cell_length_b 5.687
_cell_length_c 5.991
_cell_angle_alpha 90.00
_cell_angle_beta 90.00
_cell_angle_gamma 90.00
loop_
_atom_site_label
_atom_site_fract_x
_atom_site_fract_y
_atom_site_fract_z
_atom_site_occupancy
Ag1 0.000 0.000 0.000 1
Ge1 0.000 0.500 0.500 1
Se1 0.268 0.268 0.256 1
```

***

11.
Compound: LaAs3Ir
Source: Alexandria
Functional: PBE
Structure: relaxed

Values from the calculation:
As for the excess energy over the best structure of this formula in the dataset: 0.0000 eV/atom. Its total energy is -28.537 eV for the cell shown. The value obtained for the formation energy is -160 meV/atom.

```
data_LaAs3Ir
_symmetry_space_group_name_H-M 'P m -3 m'
_symmetry_Int_Tables_number 221
_symmetry_space_group_name_Hall '-P 4 2 3'
_cell_length_a 4.915
_cell_length_b 4.915
_cell_length_c 4.915
_cell_angle_alpha 90.00
_cell_angle_beta 90.00
_cell_angle_gamma 90.00
loop_
_atom_site_label
_atom_site_fract_x
_atom_site_fract_y
_atom_site_fract_z
_atom_site_occupancy
La1 0.000 0.000 0.000 1
As1 0.000 0.500 0.500 1
Ir1 0.500 0.500 0.500 1
```

***

12.
Compound: ThCo4Pd
Source: Alexandria
Functional: PBE
Structure: relaxed

Values from the calculation:
Its total energy is -167.711 eV for the cell shown. The value obtained for the formation energy is -149 meV/atom.

```
data_ThCo4Pd
_symmetry_space_group_name_H-M 'F -4 3 m'
_symmetry_Int_Tables_number 216
_symmetry_space_group_name_Hall 'F -4 2 3'
_cell_length_a 7.083
_cell_length_b 7.083
_cell_length_c 7.083
_cell_angle_alpha 90.00
_cell_angle_beta 90.00
_cell_angle_gamma 90.00
loop_
_atom_site_label
_atom_site_fract_x
_atom_site_fract_y
_atom_site_fract_z
_atom_site_occupancy
Th1 0.000 0.000 0.000 1
Co1 0.123 0.123 0.377 1
Pd1 0.250 0.250 0.750 1
```